Below is a relaxed structure of Mn2OsPbO8, with properties calculated at the GGA+U level.

Values from the calculation:
Its volume is 12.39 Å³ per atom. The value obtained for the uncorrected energy is -6.958 eV per atom. The total magnetization is 8.26 μB per formula unit. The calculation puts the theoretical density at 7.09 Mg/m³.

Cell: 4.803 4.803 6.455 Å, 90.00 90.00 92.87°
Fractional positions:
Mn  0.000  0.000  0.247
Mn  0.000  0.000  0.753
Os  0.500  0.500  0.000
Pb  0.500  0.500  0.500
O  0.174  0.174  0.500
O  0.211  0.211  0.000
O  0.311  0.689  0.213
O  0.311  0.689  0.787
O  0.689  0.311  0.213
O  0.689  0.311  0.787
O  0.789  0.789  0.000
O  0.826  0.826  0.500